1.
4
Lattice="0.000 3.690 3.690 3.690 0.000 3.690 3.690 3.690 0.000" Properties=species:S:1:pos:R:3 comment="TbCdSnHg, relaxed, DFT PBE" m_tot_mub_per_atom=0.000 formation_energy_ev_per_atom=-0.275 de_polymorph_mev_per_atom=159 pbc="T T T"
Tb 0.000 0.000 0.000
Cd 3.690 3.690 3.690
Sn 1.845 1.845 1.845
Hg 5.536 5.536 5.536

---

2.
4
Lattice="4.394 0.000 0.000 0.000 4.568 0.000 0.000 0.000 4.868" Properties=species:S:1:pos:R:3 comment="TbCdSnHg, relaxed, DFT PBE" m_tot_mub_per_atom=0.000 formation_energy_ev_per_atom=-0.434 de_polymorph_mev_per_atom=0 pbc="T T T"
Tb 0.000 0.000 0.000
Cd 0.000 2.284 2.434
Sn 2.197 2.284 0.000
Hg 2.197 0.000 2.434

---

3.
8
Lattice="7.599 0.000 0.000 0.000 4.457 0.000 -2.633 0.000 7.214" Properties=species:S:1:pos:R:3 comment="CdSn2HgTe4, relaxed, DFT PBE" m_tot_mub_per_atom=0.000 formation_energy_uncorrected_mev_per_atom=-222 pbc="T T T"
Cd 0.000 0.000 0.000
Sn 2.483 0.000 3.607
Sn 3.800 2.229 0.000
Hg -1.317 2.229 3.607
Te -0.129 0.000 5.430
Te 1.214 2.229 1.751
Te 5.095 0.000 1.783
Te 3.753 2.229 5.463

---

4.
4
Lattice="0.000 3.739 3.739 3.739 0.000 3.739 3.739 3.739 0.000" Properties=species:S:1:pos:R:3 comment="ThCdSnHg, relaxed, DFT PBE" m_tot_mub_per_atom=0.000 formation_energy_ev_per_atom=-0.189 de_polymorph_mev_per_atom=145 pbc="T T T"
Th 0.000 0.000 0.000
Cd 3.739 3.739 3.739
Sn 5.608 5.608 5.608
Hg 1.869 1.869 1.869

---

5.
4
Lattice="4.521 0.000 0.000 0.000 4.673 0.000 0.000 0.000 4.963" Properties=species:S:1:pos:R:3 comment="ThCdSnHg, relaxed, DFT PBE" m_tot_mub_per_atom=0.000 formation_energy_ev_per_atom=-0.334 de_polymorph_mev_per_atom=0 pbc="T T T"
Th 0.000 0.000 0.000
Cd 0.000 2.337 2.481
Sn 2.261 2.337 0.000
Hg 2.261 0.000 2.481

---

6.
12
Lattice="6.810 0.000 0.000 -3.405 5.898 0.000 0.000 0.000 8.512" Properties=species:S:1:pos:R:3 comment="TlCd2SnHg8, relaxed, DFT PBE" m_tot_mub_per_atom=0.000 formation_energy_ev_per_atom=0.088 pbc="T T T"
Tl 0.000 0.000 0.000
Cd 0.000 3.932 3.544
Cd 3.405 1.966 4.968
Sn 0.000 0.000 4.256
Hg 0.000 2.169 6.284
Hg -1.527 4.813 6.284
Hg 0.000 3.932 0.578
Hg 1.879 1.085 2.229
Hg 1.527 4.813 6.284
Hg 3.405 1.966 7.934
Hg 4.932 1.085 2.229
Hg 3.405 3.729 2.229